# 1
Below is crystalline SmBN at its relaxed geometry, with properties calculated at the PBE level.

## Properties
excess energy over the best structure of this formula in the dataset: 372 meV/atom
ρ: 6032 kg/m³

Lattice parameters (Å, degrees): 4.8854 3.8293 5.1555 90.00 90.25 90.00
Space group P2_1/m (No. 11)
Inequivalent atoms, fractional coordinates:
Sm (0.2021, 0.2500, 0.2509) [2 per cell]
B (0.3876, 0.2500, 0.7515) [2 per cell]
N (0.1112, 0.2500, 0.7505) [2 per cell]

=====

# 2
Below is crystalline SmBN at its relaxed geometry, with properties calculated at the PBE level.

## Properties
excess energy over the best structure of this formula in the dataset: 0 meV/atom
ρ: 7538 kg/m³

Lattice parameters (Å, degrees): 3.6862 12.2276 3.4244 90.00 90.00 90.00
Space group Cmcm (No. 63)
Inequivalent atoms, fractional coordinates:
Sm (0.0000, 0.1416, 0.2500) [4 per cell]
B (0.0000, 0.4625, 0.2500) [4 per cell]
N (0.0000, 0.3420, 0.2500) [4 per cell]

=====

# 3
Below is crystalline Sm5B2N5 at its relaxed geometry, with properties calculated at the PBE level.

## Properties
ρ: 7567 kg/m³

Lattice parameters (Å, degrees): 13.9011 3.5177 7.9467 90.00 107.71 90.00
Space group C2/m (No. 12)
Inequivalent atoms, fractional coordinates:
Sm (0.0000, 0.0000, 0.0000) [2 per cell]
Sm (0.1331, 0.0000, 0.4622) [4 per cell]
Sm (0.2495, 0.5000, 0.1510) [4 per cell]
B (0.0256, 0.5000, 0.7038) [4 per cell]
N (0.0000, 0.5000, 0.5000) [2 per cell]
N (0.1031, 0.5000, 0.8730) [4 per cell]
N (0.2361, 0.5000, 0.6524) [4 per cell]

=====

# 4
Below is crystalline Sm2B2N3 at its relaxed geometry, with properties calculated at the PBE level.

## Properties
ρ: 7686 kg/m³

Lattice parameters (Å, degrees): 10.7385 2.8970 5.0705 90.00 93.59 90.00
Space group C2/m (No. 12)
Inequivalent atoms, fractional coordinates:
Sm (0.1314, 0.0000, 0.2292) [4 per cell]
B (0.1023, 0.5000, 0.7040) [4 per cell]
N (0.0000, 0.5000, 0.5000) [2 per cell]
N (0.1728, 0.0000, 0.7469) [4 per cell]

=====

# 5
Below is crystalline Sm3TmB2N6 at its relaxed geometry, with properties calculated at the PBE level.

## Properties
ρ: 7207 kg/m³

Lattice parameters (Å, degrees): 5.5653 5.5653 6.2335 90.00 90.00 120.00
Space group P-3m1 (No. 164)
Inequivalent atoms, fractional coordinates:
Sm (0.0000, 0.0000, 0.0000) [1 per cell]
Sm (0.3333, 0.6667, 0.6607) [2 per cell]
Tm (0.0000, 0.0000, 0.5000) [1 per cell]
B (0.3333, 0.6667, 0.2468) [2 per cell]
N (0.1835, 0.3670, 0.2740) [6 per cell]

=====

# 6
Below is crystalline SnB3N at its relaxed geometry, with properties calculated at the PBE level.

## Properties
excess energy over the best structure of this formula in the dataset: 1312 meV/atom
ρ: 2928 kg/m³

Lattice parameters (Å, degrees): 4.5414 4.5414 4.5414 90.00 90.00 90.00
Space group Pm-3m (No. 221)
Inequivalent atoms, fractional coordinates:
Sn (0.0000, 0.0000, 0.0000) [1 per cell]
B (0.0000, 0.0000, 0.5000) [3 per cell]
N (0.5000, 0.5000, 0.5000) [1 per cell]

=====

# 7
Below is crystalline Sn2BN at its relaxed geometry, with properties calculated at the PBE level.

## Properties
excess energy over the best structure of this formula in the dataset: 0 meV/atom
ρ: 6318 kg/m³

Lattice parameters (Å, degrees): 5.1352 5.1352 10.4553 90.00 90.00 90.00
Space group I-42d (No. 122)
Inequivalent atoms, fractional coordinates:
Sn (0.2481, 0.2500, 0.1250) [8 per cell]
B (0.0000, 0.0000, 0.5000) [4 per cell]
N (0.0000, 0.0000, 0.0000) [4 per cell]

=====

# 8
Below is crystalline SnBN2 at its relaxed geometry, with properties calculated at the PBE level.

## Properties
excess energy over the best structure of this formula in the dataset: 0 meV/atom
ρ: 4683 kg/m³

Lattice parameters (Å, degrees): 3.5748 3.5748 15.1420 90.00 90.00 120.00
Space group R-3m (No. 166, hexagonal axes)
Inequivalent atoms, fractional coordinates:
Sn (0.0000, 0.0000, 0.0000) [3 per cell]
B (0.0000, 0.0000, 0.5000) [3 per cell]
N (0.0000, 0.0000, 0.4109) [6 per cell]

=====

Formation energy without anion corrections list, top to bottom, in eV/f.u.: -2.311 -3.428 -9.629 -5.714 -14.512 15.873 1.318 -0.105